A plane-wave DFT calculation with PBE with a Hubbard U was carried out for CrCu3F after structural relaxation.

a b c (Å): 4.181 4.181 4.181
angles (deg): 90.00 90.00 90.00
Atoms (fractional coordinates):
Cr  0.000  0.000  0.000
Cu  0.000  0.500  0.500
Cu  0.500  0.000  0.500
Cu  0.500  0.500  0.000
F  0.500  0.500  0.500

Calculated values
* energy above the most stable polymorph in this dataset: 0.0 kJ/mol of atoms
* VASP energy: -4.08 eV per atom
* magnetization: 4.93 μB per formula unit
* space group: Pm-3m, No. 221